Here is a relaxed CaInPd2 crystal from Alexandria via LeMat-Bulk. Energies are from PBE.

abc: 3.4003 4.7751 4.7751
angles: 90.00 90.00 90.00
With the nearest neighbours (Å) after each atom.
Element x y z (fractional)
Ca  0.5000  0.5000  0.5000  8 Pd 2.93
Pd  0.0000  0.0000  0.5000  4 In 2.93, 4 Ca 2.93
Pd  0.0000  0.5000  0.0000  4 In 2.93, 4 Ca 2.93
In  0.5000  0.0000  0.0000  8 Pd 2.93

Calculated values
As for the formation energy: -243.1 kJ/mol of formula units. The calculation puts the spin magnetization at 0.00 Bohr magnetons per cell. The calculated volume is 77.5 Å³ per cell.